Entry 1:
## Si2NiMoPb (PBE)

Data for a relaxed Si2NiMoPb crystal.

abc: 4.676 5.380 4.676
angles: 90.00 90.00 90.00
Sites, in units of the cell vectors:
Pb  0.000  0.500  0.000
Ni  0.500  0.500  0.500
Mo  0.000  0.000  0.000
Si  0.000  0.000  0.500
Si  0.500  0.000  0.000

Computed properties:
**Formation energy from raw total energies**: 0.98 eV/atom
**DOS(E_F)**: 8.9 states/eV/cell
**Total magnetization**: 0.93 μB/f.u.

Entry 2:
## Ti4RhN2 (PBE)

Data for a relaxed Ti4RhN2 crystal.

abc: 3.034 5.428 11.041
angles: 90.00 90.00 106.23
Sites, in units of the cell vectors:
Ti  0.763  0.526  0.104
Ti  0.763  0.526  0.396
Ti  0.237  0.474  0.896
Ti  0.237  0.474  0.604
Ti  0.916  0.833  0.750
Ti  0.084  0.167  0.250
Ti  0.500  0.000  0.000
Ti  0.500  0.000  0.500
Rh  0.607  0.214  0.750
Rh  0.393  0.786  0.250
N  0.134  0.267  0.441
N  0.866  0.733  0.941
N  0.134  0.267  0.059
N  0.866  0.733  0.559

Computed properties:
**Formation energy from raw total energies**: -1.26 eV/atom
**DOS(E_F)**: 8.0 states/eV/cell
**Total magnetization**: 0.00 μB/f.u.

Entry 3:
## NdPu2USe4 (PBE)

Data for a relaxed NdPu2USe4 crystal.

abc: 4.099 7.141 7.266
angles: 108.93 90.00 90.00
Sites, in units of the cell vectors:
Nd  0.000  0.000  0.000
Pu  0.500  0.000  0.500
Pu  0.000  0.500  0.500
U  0.500  0.500  0.000
Se  0.500  0.256  0.254
Se  0.500  0.744  0.746
Se  0.000  0.254  0.749
Se  0.000  0.746  0.251

Computed properties:
**Formation energy from raw total energies**: -1.45 eV/atom
**DOS(E_F)**: 20.0 states/eV/cell
**Total magnetization**: 8.71 μB/f.u.

Entry 4:
## SrDyNi (PBE)

Data for a relaxed SrDyNi crystal.

abc: 4.940 7.362 11.057
angles: 93.72 102.91 90.00
Sites, in units of the cell vectors:
Sr  0.076  0.291  0.151
Sr  0.407  0.184  0.814
Sr  0.593  0.816  0.186
Sr  0.924  0.709  0.849
Dy  0.210  0.606  0.421
Dy  0.769  0.871  0.539
Dy  0.790  0.394  0.579
Dy  0.231  0.129  0.461
Ni  0.328  0.519  0.656
Ni  0.683  0.160  0.367
Ni  0.672  0.481  0.344
Ni  0.317  0.840  0.633

Computed properties:
**Energy of formation**: -128 meV/atom
**DOS(E_F)**: 9.5 states/eV/cell
**Total magnetization**: 0.00 μB/f.u.

Entry 5:
## Re2HgMo (PBE)

Data for a relaxed Re2HgMo crystal.

abc: 3.206 3.206 6.574
angles: 90.00 90.00 90.00
Sites, in units of the cell vectors:
Hg  0.500  0.500  0.250
Mo  0.500  0.500  0.750
Re  0.000  0.000  0.964
Re  0.000  0.000  0.536

Computed properties:
**Energy of formation**: 617 meV/atom
**DOS(E_F)**: 3.8 states/eV/cell
**Total magnetization**: 0.00 μB/f.u.

Entry 6:
## LaPrTlI (PBE)

Data for a relaxed LaPrTlI crystal.

abc: 4.664 4.664 7.905
angles: 72.84 72.84 60.00
Sites, in units of the cell vectors:
La  0.951  0.951  0.148
Pr  0.438  0.438  0.687
Tl  0.695  0.695  0.915
I  0.193  0.193  0.420

Computed properties:
**Formation energy from raw total energies**: -0.67 eV/atom
**E above lowest polymorph**: 0.000 eV per atom
**DOS(E_F)**: 2.3 states/eV/cell
**Total magnetization**: 0.00 μB/f.u.

Entry 7:
## Rb2ReAu (PBE)

Data for a relaxed Rb2ReAu crystal.

abc: 12.541 12.541 9.241
angles: 47.27 47.27 90.00
Sites, in units of the cell vectors:
Re  0.500  0.500  0.000
Re  0.250  0.750  0.500
Au  0.000  0.000  0.000
Au  0.750  0.250  0.500
Rb  0.792  0.125  0.250
Rb  0.958  0.625  0.250
Rb  0.375  0.208  0.750
Rb  0.875  0.042  0.750

Computed properties:
**Energy of formation**: 1165 meV/atom
**E above lowest polymorph**: 0.000 eV per atom
**DOS(E_F)**: 6.6 states/eV/cell
**Total magnetization**: 3.82 μB/f.u.

Entry 8:
## Li2DyMgAu2 (PBE)

Data for a relaxed Li2DyMgAu2 crystal.

abc: 4.510 4.510 6.545
angles: 90.00 90.00 120.00
Sites, in units of the cell vectors:
Li  0.333  0.667  0.683
Li  0.667  0.333  0.317
Dy  0.000  0.000  0.000
Mg  0.000  0.000  0.500
Au  0.333  0.667  0.263
Au  0.667  0.333  0.737

Computed properties:
**Energy of formation**: -549 meV/atom
**DOS(E_F)**: 2.6 states/eV/cell
**Total magnetization**: 0.00 μB/f.u.

Entry 9:
## CsIn3Pd (PBE)

Data for a relaxed CsIn3Pd crystal.

abc: 6.386 6.386 6.386
angles: 90.00 90.00 90.00
Sites, in units of the cell vectors:
Cs  0.000  0.000  0.000
Pd  0.500  0.500  0.500
In  0.000  0.500  0.000
In  0.000  0.000  0.500
In  0.500  0.000  0.000

Computed properties:
**Energy of formation**: 1387 meV/atom
**E above lowest polymorph**: 1.592 eV per atom
**DOS(E_F)**: 6.4 states/eV/cell
**Total magnetization**: 0.00 μB/f.u.

Entry 10:
## CaCdOs2 (PBE)

Data for a relaxed CaCdOs2 crystal.

abc: 4.546 3.969 3.969
angles: 90.00 90.00 90.00
Sites, in units of the cell vectors:
Ca  0.500  0.500  0.000
Os  0.000  0.000  0.000
Os  0.000  0.500  0.500
Cd  0.500  0.000  0.500

Computed properties:
**Energy of formation**: 698 meV/atom
**DOS(E_F)**: 4.3 states/eV/cell
**Total magnetization**: 0.00 μB/f.u.

Entry 11:
## NpFeSbRu (PBE)

Data for a relaxed NpFeSbRu crystal.

abc: 4.610 4.610 4.610
angles: 60.00 60.00 60.00
Sites, in units of the cell vectors:
Np  0.500  0.500  0.500
Sb  0.000  0.000  0.000
Fe  0.750  0.750  0.750
Ru  0.250  0.250  0.250

Computed properties:
**Formation energy from raw total energies**: 0.04 eV/atom
**DOS(E_F)**: 4.8 states/eV/cell
**Total magnetization**: 4.07 μB/f.u.

Entry 12:
## Cd2TeAu (PBE)

Data for a relaxed Cd2TeAu crystal.

abc: 5.128 5.128 5.128
angles: 60.00 60.00 60.00
Sites, in units of the cell vectors:
Te  0.750  0.750  0.750
Au  0.500  0.500  0.500
Cd  0.000  0.000  0.000
Cd  0.250  0.250  0.250

Computed properties:
**Formation energy from raw total energies**: 0.14 eV/atom
**DOS(E_F)**: 4.0 states/eV/cell
**Total magnetization**: 0.00 μB/f.u.

For each record above, in turn, the calculated total DFT energy (no corrections) values are -5.2567, -9.1983, -8.7852, -4.1496, -8.3907, -4.0724, -3.2497, -3.3124, -1.4654, -5.6458, -8.6623, -1.9203 eV/atom.